{"formula": "NdAl2Pd5Au", "functional": "PBE-GGA", "state": "relaxed", "space_group": "No. 123", "total_magnetization_mub_per_cell": 0.0, "e_form_mev_per_atom": -551, "lattice_angstrom": [[4.111, 0.000, 0.000], [0.000, 4.111, 0.000], [0.000, 0.000, 9.570]], "species": ["Nd", "Al", "Al", "Pd", "Pd", "Pd", "Pd", "Pd", "Au"], "frac_coords": [[0.000, 0.000, 0.000], [0.500, 0.500, 0.370], [0.500, 0.500, 0.630], [0.000, 0.500, 0.230], [0.000, 0.500, 0.770], [0.500, 0.000, 0.230], [0.500, 0.000, 0.770], [0.500, 0.500, 0.000], [0.000, 0.000, 0.500]]}